1.
The following is a DFT calculation (SCAN) of a crystal of ScZn2Cd relaxed with PBEsol.

The space group is Amm2 (No. 38) and the conventional cell measures 4.277, 3.075 and 10.666 Å, with angles of 90.00, 90.00 and 90.00 degrees. The asymmetric unit holds Sc at (0.000, 0.000, 0.000), Zn at (0.000, 0.000, 0.271), Zn at (0.500, 0.000, 0.398) and Cd at (0.500, 0.000, 0.664).



2.
The following is a DFT calculation (SCAN) of a crystal of ScZnCd2 relaxed with PBEsol.

The space group is P4/mmm (No. 123) and the conventional cell measures 4.168, 4.168 and 4.412 Å, with angles of 90.00, 90.00 and 90.00 degrees. The asymmetric unit holds Sc at (0.000, 0.000, 0.000), Zn at (0.500, 0.500, 0.000) and Cd at (0.000, 0.500, 0.500).



3.
The following is a DFT calculation (SCAN) of a crystal of Sc3ZnCd relaxed with PBEsol.

The space group is Pm-3m (No. 221) and the conventional cell measures 5.194, 5.194 and 5.194 Å, with angles of 90.00, 90.00 and 90.00 degrees. The asymmetric unit holds Sc at (0.000, 0.000, 0.500), Zn at (0.500, 0.500, 0.500) and Cd at (0.000, 0.000, 0.000).



4.
The following is a DFT calculation (SCAN) of a crystal of ScZnCd relaxed with PBEsol.

The space group is I4mm (No. 107) and the conventional cell measures 3.093, 3.093 and 11.597 Å, with angles of 90.00, 90.00 and 90.00 degrees. The asymmetric unit holds Sc at (0.000, 0.000, 0.000), Zn at (0.000, 0.000, 0.343) and Cd at (0.000, 0.000, 0.688).



How do the records compare in DOS(E_F)? In the order shown, they have 1.49 2.38 8.21 1.95 states/eV/f.u..
How do the records compare in density? In the order shown, they have 6.824 7.262 3.706 6.669 g/cm³.
How do the records compare in total DFT energy (no corrections)? In the order shown, they have -18.179 -22.393 -16.768 -19.676 eV per atom.